[1]
An optimized crystal structure of Pm2Pr2Pt, computed with PBE.

a = 7.754 Å, b = 12.127 Å, c = 7.695 Å
α = 90.00°, β = 115.51°, γ = 90.00°
Space group C2/m (No. 12)
Asymmetric unit:
Pm: 0.051 0.220 0.255 [8 per cell]
Pr: 0.231 0.500 0.900 [4 per cell]
Pr: 0.240 0.000 0.616 [4 per cell]
Pt: 0.000 0.375 0.500 [4 per cell]

Computed properties:
* final energy: -5.39 eV per atom
* total magnetic moment: 0.00 μB per formula unit
* ρ: 7.800 g/cm3

[2]
An optimized crystal structure of ZnRe2Ir, computed with PBE.

a = 2.709 Å, b = 2.709 Å, c = 8.000 Å
α = 90.00°, β = 90.00°, γ = 90.00°
Space group P4/mmm (No. 123)
Asymmetric unit:
Zn: 0.000 0.000 0.000 [1 per cell]
Re: 0.500 0.500 0.254 [2 per cell]
Ir: 0.000 0.000 0.500 [1 per cell]

Computed properties:
* final energy: -8.61 eV per atom
* total magnetic moment: 0.00 μB per formula unit
* energy relative to the lowest polymorph listed for this composition: 0.148 eV/atom
* ρ: 17.826 g/cm3

[3]
An optimized crystal structure of BaCu2Au, computed with PBE.

a = 4.392 Å, b = 5.980 Å, c = 7.641 Å
α = 90.00°, β = 90.00°, γ = 90.00°
Space group Imm2 (No. 44)
Asymmetric unit:
Ba: 0.000 0.000 0.000 [2 per cell]
Cu: 0.000 0.000 0.476 [2 per cell]
Cu: 0.000 0.500 0.829 [2 per cell]
Au: 0.000 0.500 0.173 [2 per cell]

Computed properties:
* final energy: -3.39 eV per atom
* total magnetic moment: 0.00 μB per formula unit
* energy relative to the lowest polymorph listed for this composition: 0.211 eV/atom
* ρ: 7.635 g/cm3

[4]
An optimized crystal structure of NbHgTe2I, computed with PBE.

a = 5.555 Å, b = 5.555 Å, c = 5.775 Å
α = 90.00°, β = 90.00°, γ = 90.00°
Space group P4/mmm (No. 123)
Asymmetric unit:
Nb: 0.000 0.000 0.000 [1 per cell]
Hg: 0.500 0.500 0.500 [1 per cell]
Te: 0.000 0.500 0.500 [2 per cell]
I: 0.500 0.500 0.000 [1 per cell]

Computed properties:
* final energy: -2.57 eV per atom
* formation energy from raw total energies: 1073 meV/atom
* total magnetic moment: 2.57 μB per formula unit
* energy relative to the lowest polymorph listed for this composition: 1.068 eV/atom
* ρ: 6.296 g/cm3

[5]
An optimized crystal structure of SiAg2Sb, computed with PBE.

a = 3.134 Å, b = 4.337 Å, c = 12.324 Å
α = 90.00°, β = 90.00°, γ = 90.00°
Space group Imm2 (No. 44)
Asymmetric unit:
Si: 0.000 0.000 0.000 [2 per cell]
Ag: 0.000 0.000 0.517 [2 per cell]
Ag: 0.000 0.500 0.686 [2 per cell]
Sb: 0.000 0.500 0.301 [2 per cell]

Computed properties:
* final energy: -3.55 eV per atom
* formation energy from raw total energies: 260 meV/atom
* total magnetic moment: 0.00 μB per formula unit
* energy relative to the lowest polymorph listed for this composition: 0.016 eV/atom
* ρ: 7.248 g/cm3

[6]
An optimized crystal structure of KBa2Se, computed with PBE.

a = 4.194 Å, b = 4.194 Å, c = 11.422 Å
α = 90.00°, β = 90.00°, γ = 90.00°
Space group P4mm (No. 99)
Asymmetric unit:
K: 0.000 0.000 0.000 [1 per cell]
Ba: 0.000 0.000 0.317 [1 per cell]
Ba: 0.500 0.500 0.655 [1 per cell]
Se: 0.500 0.500 0.192 [1 per cell]

Computed properties:
* final energy: -2.90 eV per atom
* formation energy from raw total energies: -789 meV/atom
* total magnetic moment: 0.78 μB per formula unit
* ρ: 3.245 g/cm3